[1]
BaGaBr6: relaxed, PBE.

Output
formation energy (no corrections) = -8.31 eV/f.u.
total moment = 0.001 μB per formula unit
volume = 31.55 A^3/atom

Structure (CIF):
```
data_BaGaBr6
_chemical_formula_sum 'Ba1 Ga1 Br6'
_symmetry_space_group_name_H-M 'P 1'
_symmetry_Int_Tables_number 1
_cell_length_a 6.423
_cell_length_b 6.423
_cell_length_c 6.423
_cell_angle_alpha 99.62
_cell_angle_beta 99.62
_cell_angle_gamma 99.62
loop_
_symmetry_equiv_pos_as_xyz
'x,y,z'
loop_
_atom_site_label
_atom_site_fract_x
_atom_site_fract_y
_atom_site_fract_z
Ba1 0.000 0.000 0.000
Ga1 0.500 0.500 0.500
Br1 0.210 0.210 0.567
Br2 0.210 0.567 0.210
Br3 0.433 0.790 0.790
Br4 0.567 0.210 0.210
Br5 0.790 0.433 0.790
Br6 0.790 0.790 0.433
```

[2]
Ba2GaBr: relaxed, PBE.

Output
formation energy (no corrections) = -3.04 eV/f.u.
distance to the lowest polymorph of the same formula = 0.84 eV/f.u.
total moment = 2.000 μB per formula unit
volume = 36.96 A^3/atom

Structure (CIF):
```
data_Ba2GaBr
_chemical_formula_sum 'Ba2 Ga1 Br1'
_symmetry_space_group_name_H-M 'P 1'
_symmetry_Int_Tables_number 1
_cell_length_a 5.935
_cell_length_b 5.935
_cell_length_c 5.935
_cell_angle_alpha 60.00
_cell_angle_beta 60.00
_cell_angle_gamma 60.00
loop_
_symmetry_equiv_pos_as_xyz
'x,y,z'
loop_
_atom_site_label
_atom_site_fract_x
_atom_site_fract_y
_atom_site_fract_z
Ba1 0.250 0.250 0.250
Ba2 0.750 0.750 0.750
Ga1 0.000 0.000 0.000
Br1 0.500 0.500 0.500
```

[3]
Ba2GaBr: relaxed, PBE.

Output
formation energy (no corrections) = -3.88 eV/f.u.
distance to the lowest polymorph of the same formula = 0.00 eV/f.u.
total moment = 0.000 μB per formula unit
volume = 37.84 A^3/atom

Structure (CIF):
```
data_Ba2GaBr
_chemical_formula_sum 'Ba4 Ga2 Br2'
_symmetry_space_group_name_H-M 'P 1'
_symmetry_Int_Tables_number 1
_cell_length_a 13.066
_cell_length_b 13.066
_cell_length_c 4.653
_cell_angle_alpha 90.00
_cell_angle_beta 90.00
_cell_angle_gamma 157.60
loop_
_symmetry_equiv_pos_as_xyz
'x,y,z'
loop_
_atom_site_label
_atom_site_fract_x
_atom_site_fract_y
_atom_site_fract_z
Ba1 0.060 0.940 0.750
Ba2 0.329 0.671 0.750
Ba3 0.671 0.329 0.250
Ba4 0.940 0.060 0.250
Ga1 0.467 0.533 0.750
Ga2 0.533 0.467 0.250
Br1 0.194 0.806 0.750
Br2 0.806 0.194 0.250
```

[4]
BaGaBr: relaxed, PBE.

Output
formation energy (no corrections) = -3.75 eV/f.u.
total moment = 0.000 μB per formula unit
volume = 37.51 A^3/atom

Structure (CIF):
```
data_BaGaBr
_chemical_formula_sum 'Ba2 Ga2 Br2'
_symmetry_space_group_name_H-M 'P 1'
_symmetry_Int_Tables_number 1
_cell_length_a 4.626
_cell_length_b 4.626
_cell_length_c 12.441
_cell_angle_alpha 100.83
_cell_angle_beta 100.83
_cell_angle_gamma 60.00
loop_
_symmetry_equiv_pos_as_xyz
'x,y,z'
loop_
_atom_site_label
_atom_site_fract_x
_atom_site_fract_y
_atom_site_fract_z
Ba1 0.071 0.071 0.210
Ba2 0.929 0.929 0.790
Ga1 0.334 0.334 0.002
Ga2 0.666 0.666 0.998
Br1 0.214 0.214 0.644
Br2 0.786 0.786 0.356
```

[5]
Ba2GaBr: relaxed, PBE.

Output
formation energy (no corrections) = -3.77 eV/f.u.
distance to the lowest polymorph of the same formula = 0.11 eV/f.u.
total moment = 0.000 μB per formula unit
volume = 40.87 A^3/atom

Structure (CIF):
```
data_Ba2GaBr
_chemical_formula_sum 'Ba2 Ga1 Br1'
_symmetry_space_group_name_H-M 'P 1'
_symmetry_Int_Tables_number 1
_cell_length_a 9.234
_cell_length_b 9.234
_cell_length_c 9.234
_cell_angle_alpha 28.98
_cell_angle_beta 28.98
_cell_angle_gamma 28.98
loop_
_symmetry_equiv_pos_as_xyz
'x,y,z'
loop_
_atom_site_label
_atom_site_fract_x
_atom_site_fract_y
_atom_site_fract_z
Ba1 0.247 0.247 0.247
Ba2 0.753 0.753 0.753
Ga1 0.500 0.500 0.500
Br1 0.000 0.000 0.000
```

[6]
Ba2Ga2Br: relaxed, PBE.

Output
formation energy (no corrections) = -3.56 eV/f.u.
total moment = 0.000 μB per formula unit
volume = 38.83 A^3/atom

Structure (CIF):
```
data_Ba2Ga2Br
_chemical_formula_sum 'Ba4 Ga4 Br2'
_symmetry_space_group_name_H-M 'P 1'
_symmetry_Int_Tables_number 1
_cell_length_a 9.377
_cell_length_b 9.377
_cell_length_c 4.415
_cell_angle_alpha 90.00
_cell_angle_beta 90.00
_cell_angle_gamma 90.00
loop_
_symmetry_equiv_pos_as_xyz
'x,y,z'
loop_
_atom_site_label
_atom_site_fract_x
_atom_site_fract_y
_atom_site_fract_z
Ba1 0.201 0.299 0.000
Ba2 0.299 0.799 0.000
Ba3 0.701 0.201 0.000
Ba4 0.799 0.701 0.000
Ga1 0.091 0.591 0.500
Ga2 0.409 0.091 0.500
Ga3 0.591 0.909 0.500
Ga4 0.909 0.409 0.500
Br1 0.000 0.000 0.000
Br2 0.500 0.500 0.000
```

[7]
BaGaIBr4: relaxed, PBE.

Output
formation energy (no corrections) = -8.87 eV/f.u.
total moment = 0.000 μB per formula unit
volume = 47.94 A^3/atom

Structure (CIF):
```
data_BaGaIBr4
_chemical_formula_sum 'Ba2 Ga2 I2 Br8'
_symmetry_space_group_name_H-M 'P 1'
_symmetry_Int_Tables_number 1
_cell_length_a 9.109
_cell_length_b 9.109
_cell_length_c 8.780
_cell_angle_alpha 99.13
_cell_angle_beta 99.13
_cell_angle_gamma 69.88
loop_
_symmetry_equiv_pos_as_xyz
'x,y,z'
loop_
_atom_site_label
_atom_site_fract_x
_atom_site_fract_y
_atom_site_fract_z
Ba1 0.169 0.169 0.076
Ba2 0.831 0.831 0.924
Ga1 0.356 0.356 0.719
Ga2 0.644 0.644 0.281
I1 0.012 0.012 0.754
I2 0.988 0.988 0.246
Br1 0.127 0.476 0.860
Br2 0.266 0.266 0.468
Br3 0.476 0.127 0.860
Br4 0.489 0.489 0.261
Br5 0.511 0.511 0.739
Br6 0.524 0.873 0.140
Br7 0.734 0.734 0.532
Br8 0.873 0.524 0.140
```

[8]
Ba6Ga2I3Br: relaxed, PBE.

Output
formation energy (no corrections) = -12.88 eV/f.u.
total moment = 1.241 μB per formula unit
volume = 44.67 A^3/atom

Structure (CIF):
```
data_Ba6Ga2I3Br
_chemical_formula_sum 'Ba6 Ga2 I3 Br1'
_symmetry_space_group_name_H-M 'P 1'
_symmetry_Int_Tables_number 1
_cell_length_a 8.519
_cell_length_b 8.519
_cell_length_c 8.983
_cell_angle_alpha 99.01
_cell_angle_beta 99.01
_cell_angle_gamma 120.01
loop_
_symmetry_equiv_pos_as_xyz
'x,y,z'
loop_
_atom_site_label
_atom_site_fract_x
_atom_site_fract_y
_atom_site_fract_z
Ba1 0.079 0.427 0.782
Ba2 0.223 0.223 0.214
Ba3 0.427 0.079 0.782
Ba4 0.573 0.921 0.218
Ba5 0.777 0.777 0.786
Ba6 0.921 0.573 0.218
Ga1 0.168 0.832 0.000
Ga2 0.832 0.168 0.000
I1 0.000 0.000 0.500
I2 0.341 0.659 0.500
I3 0.659 0.341 0.500
Br1 0.500 0.500 0.000
```

[9]
BaIn2GaBr: relaxed, PBE.

Output
formation energy (no corrections) = -0.12 eV/f.u.
total moment = 0.000 μB per formula unit
volume = 42.02 A^3/atom

Structure (CIF):
```
data_BaIn2GaBr
_chemical_formula_sum 'Ba1 In2 Ga1 Br1'
_symmetry_space_group_name_H-M 'P 1'
_symmetry_Int_Tables_number 1
_cell_length_a 5.860
_cell_length_b 5.860
_cell_length_c 6.118
_cell_angle_alpha 90.00
_cell_angle_beta 90.00
_cell_angle_gamma 90.00
loop_
_symmetry_equiv_pos_as_xyz
'x,y,z'
loop_
_atom_site_label
_atom_site_fract_x
_atom_site_fract_y
_atom_site_fract_z
Ba1 0.000 0.000 0.000
In1 0.000 0.500 0.500
In2 0.500 0.000 0.500
Ga1 0.500 0.500 0.000
Br1 0.000 0.000 0.500
```

[10]
BaGaIrBr2: relaxed, PBE.

Output
formation energy (no corrections) = 1.83 eV/f.u.
total moment = 1.395 μB per formula unit
volume = 43.10 A^3/atom

Structure (CIF):
```
data_BaGaIrBr2
_chemical_formula_sum 'Ba1 Ga1 Ir1 Br2'
_symmetry_space_group_name_H-M 'P 1'
_symmetry_Int_Tables_number 1
_cell_length_a 5.044
_cell_length_b 5.044
_cell_length_c 8.471
_cell_angle_alpha 90.00
_cell_angle_beta 90.00
_cell_angle_gamma 90.00
loop_
_symmetry_equiv_pos_as_xyz
'x,y,z'
loop_
_atom_site_label
_atom_site_fract_x
_atom_site_fract_y
_atom_site_fract_z
Ba1 0.000 0.000 0.000
Ga1 0.000 0.000 0.500
Ir1 0.500 0.500 0.000
Br1 0.000 0.500 0.500
Br2 0.500 0.000 0.500
```

[11]
Ba2GaIrBr: relaxed, PBE.

Output
formation energy (no corrections) = -4.08 eV/f.u.
total moment = 0.000 μB per formula unit
volume = 35.99 A^3/atom

Structure (CIF):
```
data_Ba2GaIrBr
_chemical_formula_sum 'Ba2 Ga1 Ir1 Br1'
_symmetry_space_group_name_H-M 'P 1'
_symmetry_Int_Tables_number 1
_cell_length_a 6.136
_cell_length_b 6.136
_cell_length_c 4.780
_cell_angle_alpha 90.00
_cell_angle_beta 90.00
_cell_angle_gamma 90.00
loop_
_symmetry_equiv_pos_as_xyz
'x,y,z'
loop_
_atom_site_label
_atom_site_fract_x
_atom_site_fract_y
_atom_site_fract_z
Ba1 0.000 0.500 0.000
Ba2 0.500 0.000 0.000
Ga1 0.000 0.000 0.500
Ir1 0.000 0.000 0.000
Br1 0.500 0.500 0.500
```

[12]
BaGa2IrBr: relaxed, PBE.

Output
formation energy (no corrections) = -4.16 eV/f.u.
total moment = 0.000 μB per formula unit
volume = 29.42 A^3/atom

Structure (CIF):
```
data_BaGa2IrBr
_chemical_formula_sum 'Ba1 Ga2 Ir1 Br1'
_symmetry_space_group_name_H-M 'P 1'
_symmetry_Int_Tables_number 1
_cell_length_a 4.826
_cell_length_b 4.826
_cell_length_c 6.314
_cell_angle_alpha 90.00
_cell_angle_beta 90.00
_cell_angle_gamma 90.00
loop_
_symmetry_equiv_pos_as_xyz
'x,y,z'
loop_
_atom_site_label
_atom_site_fract_x
_atom_site_fract_y
_atom_site_fract_z
Ba1 0.000 0.000 0.000
Ga1 0.000 0.500 0.500
Ga2 0.500 0.000 0.500
Ir1 0.000 0.000 0.500
Br1 0.500 0.500 0.000
```

[13]
KBa2GaBr: relaxed, PBE.

Output
formation energy (no corrections) = 0.86 eV/f.u.
total moment = 0.000 μB per formula unit
volume = 53.48 A^3/atom

Structure (CIF):
```
data_KBa2GaBr
_chemical_formula_sum 'K1 Ba2 Ga1 Br1'
_symmetry_space_group_name_H-M 'P 1'
_symmetry_Int_Tables_number 1
_cell_length_a 7.085
_cell_length_b 7.085
_cell_length_c 5.328
_cell_angle_alpha 90.00
_cell_angle_beta 90.00
_cell_angle_gamma 90.00
loop_
_symmetry_equiv_pos_as_xyz
'x,y,z'
loop_
_atom_site_label
_atom_site_fract_x
_atom_site_fract_y
_atom_site_fract_z
K1 0.000 0.000 0.000
Ba1 0.000 0.500 0.000
Ba2 0.500 0.000 0.000
Ga1 0.000 0.000 0.500
Br1 0.500 0.500 0.500
```

[14]
KBaGaBr2: relaxed, PBE.

Output
formation energy (no corrections) = -2.85 eV/f.u.
total moment = 0.000 μB per formula unit
volume = 45.53 A^3/atom

Structure (CIF):
```
data_KBaGaBr2
_chemical_formula_sum 'K1 Ba1 Ga1 Br2'
_symmetry_space_group_name_H-M 'P 1'
_symmetry_Int_Tables_number 1
_cell_length_a 6.065
_cell_length_b 6.065
_cell_length_c 6.189
_cell_angle_alpha 90.00
_cell_angle_beta 90.00
_cell_angle_gamma 90.00
loop_
_symmetry_equiv_pos_as_xyz
'x,y,z'
loop_
_atom_site_label
_atom_site_fract_x
_atom_site_fract_y
_atom_site_fract_z
K1 0.000 0.000 0.000
Ba1 0.500 0.500 0.000
Ga1 0.500 0.500 0.500
Br1 0.000 0.500 0.500
Br2 0.500 0.000 0.500
```

[15]
BaGa2PBr: relaxed, PBE.

Output
formation energy (no corrections) = 3.28 eV/f.u.
total moment = 0.000 μB per formula unit
volume = 48.96 A^3/atom

Structure (CIF):
```
data_BaGa2PBr
_chemical_formula_sum 'Ba1 Ga2 P1 Br1'
_symmetry_space_group_name_H-M 'P 1'
_symmetry_Int_Tables_number 1
_cell_length_a 6.707
_cell_length_b 6.707
_cell_length_c 5.443
_cell_angle_alpha 90.00
_cell_angle_beta 90.00
_cell_angle_gamma 90.00
loop_
_symmetry_equiv_pos_as_xyz
'x,y,z'
loop_
_atom_site_label
_atom_site_fract_x
_atom_site_fract_y
_atom_site_fract_z
Ba1 0.000 0.000 0.000
Ga1 0.000 0.500 0.000
Ga2 0.500 0.000 0.000
P1 0.000 0.000 0.500
Br1 0.500 0.500 0.500
```

[16]
BaGa2PtBr: relaxed, PBE.

Output
formation energy (no corrections) = -4.71 eV/f.u.
total moment = 0.000 μB per formula unit
volume = 30.82 A^3/atom

Structure (CIF):
```
data_BaGa2PtBr
_chemical_formula_sum 'Ba1 Ga2 Pt1 Br1'
_symmetry_space_group_name_H-M 'P 1'
_symmetry_Int_Tables_number 1
_cell_length_a 4.807
_cell_length_b 4.807
_cell_length_c 6.668
_cell_angle_alpha 90.00
_cell_angle_beta 90.00
_cell_angle_gamma 90.00
loop_
_symmetry_equiv_pos_as_xyz
'x,y,z'
loop_
_atom_site_label
_atom_site_fract_x
_atom_site_fract_y
_atom_site_fract_z
Ba1 0.000 0.000 0.000
Ga1 0.000 0.500 0.500
Ga2 0.500 0.000 0.500
Pt1 0.000 0.000 0.500
Br1 0.500 0.500 0.000
```

[17]
Ba2GaPtBr: relaxed, PBE.

Output
formation energy (no corrections) = -5.04 eV/f.u.
total moment = 0.000 μB per formula unit
volume = 37.33 A^3/atom

Structure (CIF):
```
data_Ba2GaPtBr
_chemical_formula_sum 'Ba2 Ga1 Pt1 Br1'
_symmetry_space_group_name_H-M 'P 1'
_symmetry_Int_Tables_number 1
_cell_length_a 6.252
_cell_length_b 6.252
_cell_length_c 4.774
_cell_angle_alpha 90.00
_cell_angle_beta 90.00
_cell_angle_gamma 90.00
loop_
_symmetry_equiv_pos_as_xyz
'x,y,z'
loop_
_atom_site_label
_atom_site_fract_x
_atom_site_fract_y
_atom_site_fract_z
Ba1 0.000 0.500 0.000
Ba2 0.500 0.000 0.000
Ga1 0.000 0.000 0.500
Pt1 0.000 0.000 0.000
Br1 0.500 0.500 0.500
```

[18]
Rb2BaGaBr6: relaxed, PBE.

Output
formation energy (no corrections) = -14.50 eV/f.u.
total moment = 0.000 μB per formula unit
volume = 41.00 A^3/atom

Structure (CIF):
```
data_Rb2BaGaBr6
_chemical_formula_sum 'Rb2 Ba1 Ga1 Br6'
_symmetry_space_group_name_H-M 'P 1'
_symmetry_Int_Tables_number 1
_cell_length_a 8.337
_cell_length_b 8.337
_cell_length_c 8.337
_cell_angle_alpha 119.96
_cell_angle_beta 119.96
_cell_angle_gamma 90.07
loop_
_symmetry_equiv_pos_as_xyz
'x,y,z'
loop_
_atom_site_label
_atom_site_fract_x
_atom_site_fract_y
_atom_site_fract_z
Rb1 0.250 0.750 0.500
Rb2 0.750 0.250 0.500
Ba1 0.000 0.000 0.000
Ga1 0.500 0.500 0.000
Br1 0.267 0.267 0.000
Br2 0.267 0.267 0.533
Br3 0.267 0.733 0.000
Br4 0.733 0.267 0.000
Br5 0.733 0.733 0.000
Br6 0.733 0.733 0.467
```

[19]
BaGaRu2Br: relaxed, PBE.

Output
formation energy (no corrections) = 2.51 eV/f.u.
total moment = 2.973 μB per formula unit
volume = 27.76 A^3/atom

Structure (CIF):
```
data_BaGaRu2Br
_chemical_formula_sum 'Ba1 Ga1 Ru2 Br1'
_symmetry_space_group_name_H-M 'P 1'
_symmetry_Int_Tables_number 1
_cell_length_a 4.675
_cell_length_b 4.675
_cell_length_c 6.351
_cell_angle_alpha 90.00
_cell_angle_beta 90.00
_cell_angle_gamma 90.00
loop_
_symmetry_equiv_pos_as_xyz
'x,y,z'
loop_
_atom_site_label
_atom_site_fract_x
_atom_site_fract_y
_atom_site_fract_z
Ba1 0.000 0.000 0.000
Ga1 0.000 0.000 0.500
Ru1 0.000 0.500 0.500
Ru2 0.500 0.000 0.500
Br1 0.500 0.500 0.000
```

[20]
Ba3GaS4Br: relaxed, PBE.

Output
formation energy (no corrections) = -16.09 eV/f.u.
total moment = 0.000 μB per formula unit
volume = 29.27 A^3/atom

Structure (CIF):
```
data_Ba3GaS4Br
_chemical_formula_sum 'Ba12 Ga4 S16 Br4'
_symmetry_space_group_name_H-M 'P 1'
_symmetry_Int_Tables_number 1
_cell_length_a 12.567
_cell_length_b 9.724
_cell_length_c 8.623
_cell_angle_alpha 90.00
_cell_angle_beta 90.00
_cell_angle_gamma 90.00
loop_
_symmetry_equiv_pos_as_xyz
'x,y,z'
loop_
_atom_site_label
_atom_site_fract_x
_atom_site_fract_y
_atom_site_fract_z
Ba1 0.025 0.250 0.082
Ba2 0.163 0.021 0.589
Ba3 0.163 0.479 0.589
Ba4 0.337 0.521 0.089
Ba5 0.337 0.979 0.089
Ba6 0.475 0.750 0.582
Ba7 0.525 0.250 0.418
Ba8 0.663 0.021 0.911
Ba9 0.663 0.479 0.911
Ba10 0.837 0.521 0.411
Ba11 0.837 0.979 0.411
Ba12 0.975 0.750 0.918
Ga1 0.106 0.750 0.311
Ga2 0.394 0.250 0.811
Ga3 0.606 0.750 0.189
Ga4 0.894 0.250 0.689
S1 0.008 0.750 0.535
S2 0.071 0.550 0.187
S3 0.071 0.950 0.187
S4 0.215 0.250 0.859
S5 0.285 0.750 0.359
S6 0.429 0.050 0.687
S7 0.429 0.450 0.687
S8 0.492 0.250 0.035
S9 0.508 0.750 0.965
S10 0.571 0.550 0.313
S11 0.571 0.950 0.313
S12 0.715 0.250 0.641
S13 0.785 0.750 0.141
S14 0.929 0.050 0.813
S15 0.929 0.450 0.813
S16 0.992 0.250 0.465
Br1 0.232 0.750 0.832
Br2 0.268 0.250 0.332
Br3 0.732 0.750 0.668
Br4 0.768 0.250 0.168
```